AcMg2SiN4 | PBE | relaxed

Summary:
Formation energy from raw total energies = -0.85 eV per atom
Size of the total moment = 0.50 μB per formula unit
Electronic total energy = -52.8 eV per cell

a b c (Å): 5.401 5.316 5.316
angles (deg): 88.15 59.47 59.47
Site moments in Bohr magnetons follow the coordinates.
Fractional positions:
Ac1 0.000 0.000 0.000  0.03
Mg1 0.500 0.750 0.250  0.00
Mg2 0.500 0.250 0.750  0.00
Si1 0.000 0.500 0.500  -0.01
N1 0.620 0.553 0.827  0.09
N2 0.380 0.173 0.447  0.09
N3 0.000 0.447 0.173  0.09
N4 0.000 0.827 0.553  0.09